1.
A plane-wave DFT calculation with PBE was carried out for a relaxed LaThOsPd crystal.

Geometry as extended XYZ:
```
4
Lattice="-2.0613 1.1374 -4.5131 -5.0109 0.8119 -0.3774 -1.7582 4.6944 -0.8845" Properties=species:S:1:pos:R:3 pbc="T T T"
Os -4.4152 3.3219 -2.8875
Pd 0.0000 0.0000 0.0000
Th -2.2076 1.6609 -1.4437
La -6.6228 4.9828 -4.3312
```

Properties
Density ... 11.89 g/cm³
Formation enthalpy at 0 K ... -0.392 eV/atom
Space-group type ... No. 216
Crystal system ... cubic



2.
A plane-wave DFT calculation with PBE was carried out for a relaxed LaYOsPd crystal.

Geometry as extended XYZ:
```
4
Lattice="5.0041 0.0000 0.0000 2.5021 4.3337 0.0000 2.5021 1.4446 4.0859" Properties=species:S:1:pos:R:3 pbc="T T T"
Y 7.5062 4.3337 3.0644
Os 5.0041 2.8891 2.0429
Pd 0.0000 0.0000 0.0000
La 2.5021 1.4446 1.0215
```

Properties
Density ... 9.83 g/cm³
Formation enthalpy at 0 K ... -0.400 eV/atom
Space-group type ... No. 216
Crystal system ... cubic



3.
A plane-wave DFT calculation with PBE was carried out for a relaxed La2PmOs2 crystal.

Geometry as extended XYZ:
```
5
Lattice="-3.2300 -1.4915 -2.8187 -2.8102 -4.8646 2.1397 -5.5230 0.8358 2.2321" Properties=species:S:1:pos:R:3 pbc="T T T"
La -6.1479 -4.6776 0.3836
La -5.4153 -0.8427 1.1695
Pm -3.0201 -3.1780 -0.3395
Os -2.2285 -0.6947 1.0940
Os -9.3347 -4.8255 0.4591
```

Properties
Density ... 10.15 g/cm³
Formation enthalpy at 0 K ... -0.014 eV/atom
Space-group type ... No. 12
Crystal system ... monoclinic



4.
A plane-wave DFT calculation with PBE was carried out for a relaxed La3Pm12Os5 crystal.

Geometry as extended XYZ:
```
80
Lattice="15.5096 0.0000 0.0000 -5.1699 14.6226 0.0000 -5.1699 -7.3113 12.6635" Properties=species:S:1:pos:R:3 pbc="T T T"
La 9.0473 4.5696 1.5829
La 9.0473 10.0530 1.5829
La -1.2925 6.3974 7.9147
La 1.2925 -0.9139 4.7488
La 11.6322 0.0000 3.1659
La 1.2925 7.3113 3.1659
La 3.8774 0.0000 9.4977
La -6.4623 7.3113 9.4977
La 3.8774 8.2252 7.9147
La 6.4623 0.9139 4.7488
La -3.8774 -2.7417 11.0806
La -3.8774 2.7417 11.0806
Os -1.2925 3.6557 3.1659
Os -2.5849 7.3113 0.0000
Os 0.0000 0.0000 0.0000
Os 3.8774 2.7417 1.5829
Os 5.1699 -3.6557 6.3318
Os 5.1699 7.3113 0.0000
Os -3.8774 8.2252 4.7488
Os 6.4623 -4.5696 11.0806
Os 6.4623 6.3974 4.7488
Os 1.2925 -3.6557 9.4977
Os 3.8774 10.9670 3.1659
Os 2.5849 3.6557 6.3318
Os 7.7548 0.0000 0.0000
Os -2.5849 -3.6557 6.3318
Os -1.2925 0.9139 7.9147
Os -1.2925 11.8809 1.5829
Os -5.1699 3.6557 6.3318
Os 9.0473 -0.9139 7.9147
Os 1.2925 4.5696 11.0806
Os 6.4623 3.6557 9.4977
Pm 10.2393 1.2680 0.1621
Pm 0.1004 4.4300 5.3147
Pm 11.6333 3.7234 3.8561
Pm 6.4612 2.1779 1.1792
Pm 2.2176 5.1786 8.6454
Pm 11.3664 7.1500 2.3136
Pm -1.2936 8.8568 5.0353
Pm -3.8763 12.4447 1.1792
Pm 0.3674 9.4440 8.6454
Pm 6.7281 7.4726 2.3136
Pm 7.8552 4.1493 5.1526
Pm 7.8552 13.3546 0.1621
Pm -4.8025 6.4207 6.4939
Pm 3.6116 5.3883 1.2965
Pm -5.2703 10.4733 5.1526
Pm 2.6854 -2.8813 7.3489
Pm -0.3673 1.2422 2.4757
Pm 3.6116 9.3956 1.0171
Pm 6.4612 10.8992 3.8561
Pm -1.0267 5.2270 1.0171
Pm -2.9523 8.5535 10.1879
Pm 3.8785 5.7658 5.0353
Pm 7.3875 8.2018 6.4939
Pm 6.1965 -1.9230 11.3671
Pm 1.2914 1.5455 7.6283
Pm -2.2176 -0.8905 6.1697
Pm -1.0267 9.2343 1.2965
Pm -1.2913 -3.5879 8.8075
Pm 8.1222 -1.2422 2.4757
Pm 6.1965 2.0843 11.6464
Pm 1.5583 -2.0843 11.6464
Pm 2.4845 10.1926 5.3147
Pm 5.5372 6.0691 10.1879
Pm 10.4402 -3.1620 7.5110
Pm 9.9724 0.8906 6.1697
Pm -2.6854 -6.0433 12.5015
Pm 1.5583 1.9230 11.3671
Pm 4.8025 -2.1327 4.0182
Pm -1.5583 -0.1613 10.3499
Pm -2.6854 3.1620 7.5110
Pm 9.0462 -5.1334 11.4843
Pm 6.4635 -1.5455 7.6283
Pm -1.2914 5.1334 11.4843
Pm -6.1965 0.1613 10.3499
Pm 2.9523 2.1327 4.0182
Pm -6.4634 3.5879 8.8075
Pm 5.0695 2.8813 7.3489
Pm -5.0694 6.0433 12.5015
```

Properties
Density ... 7.19 g/cm³
Formation enthalpy at 0 K ... 0.565 eV/atom
Space-group type ... No. 230
Crystal system ... cubic



5.
A plane-wave DFT calculation with PBE was carried out for a relaxed LaPm4Os crystal.

Geometry as extended XYZ:
```
12
Lattice="-0.4698 5.1842 -3.4117 -6.5968 0.4256 7.6602 8.0082 0.0330 1.5718" Properties=species:S:1:pos:R:3 pbc="T T T"
La -2.5236 2.0747 3.7141
La 3.4652 3.5681 2.1061
Pm 5.4541 0.3034 2.3888
Pm 0.1280 4.3776 3.9643
Pm 2.0920 1.7410 5.3556
Pm -1.0312 2.3998 6.8866
Pm 1.9728 3.2430 -1.0663
Pm -1.1504 3.9017 0.4646
Pm 0.8136 1.2651 1.8559
Pm -4.5125 5.3393 3.4314
Os 1.2812 1.7466 8.3685
Os -0.3396 3.8962 -2.5483
```

Properties
Density ... 7.86 g/cm³
Formation enthalpy at 0 K ... -0.002 eV/atom
Space-group type ... No. 15
Crystal system ... monoclinic



6.
A plane-wave DFT calculation with PBE was carried out for a relaxed LaPm4Os2 crystal.

Geometry as extended XYZ:
```
14
Lattice="-0.5574 -0.9557 6.5525 -3.0057 -7.4736 -1.3458 7.9207 0.1299 0.6927" Properties=species:S:1:pos:R:3 pbc="T T T"
Pm 4.4551 -3.4885 3.2569
Pm 1.6670 -2.0734 1.5242
Pm 2.6905 -6.2260 4.3752
Pm 4.1793 -3.9615 6.4998
Pm 2.5183 -0.7899 5.1535
Pm 0.1783 -4.3379 -0.6004
Pm -0.0976 -4.8109 2.6425
Pm 1.8393 -7.5095 0.7459
Os 6.8270 -2.0969 1.9597
Os -2.4694 -6.2025 3.9397
Os 1.6746 -3.4178 4.6984
Os 2.6829 -4.8816 1.2010
La 5.0364 -6.3561 1.1861
La -0.6789 -1.9433 4.7133
```

Properties
Density ... 9.21 g/cm³
Formation enthalpy at 0 K ... -0.047 eV/atom
Space-group type ... No. 11
Crystal system ... monoclinic



Q: Among the records above, which one has the lowest formation enthalpy at 0 K?
A: LaYOsPd



What did the fourth record say?
A plane-wave DFT calculation with PBE was carried out for a relaxed La3Pm12Os5 crystal.

Geometry as extended XYZ:
```
80
Lattice="15.5096 0.0000 0.0000 -5.1699 14.6226 0.0000 -5.1699 -7.3113 12.6635" Properties=species:S:1:pos:R:3 pbc="T T T"
La 9.0473 4.5696 1.5829
La 9.0473 10.0530 1.5829
La -1.2925 6.3974 7.9147
La 1.2925 -0.9139 4.7488
La 11.6322 0.0000 3.1659
La 1.2925 7.3113 3.1659
La 3.8774 0.0000 9.4977
La -6.4623 7.3113 9.4977
La 3.8774 8.2252 7.9147
La 6.4623 0.9139 4.7488
La -3.8774 -2.7417 11.0806
La -3.8774 2.7417 11.0806
Os -1.2925 3.6557 3.1659
Os -2.5849 7.3113 0.0000
Os 0.0000 0.0000 0.0000
Os 3.8774 2.7417 1.5829
Os 5.1699 -3.6557 6.3318
Os 5.1699 7.3113 0.0000
Os -3.8774 8.2252 4.7488
Os 6.4623 -4.5696 11.0806
Os 6.4623 6.3974 4.7488
Os 1.2925 -3.6557 9.4977
Os 3.8774 10.9670 3.1659
Os 2.5849 3.6557 6.3318
Os 7.7548 0.0000 0.0000
Os -2.5849 -3.6557 6.3318
Os -1.2925 0.9139 7.9147
Os -1.2925 11.8809 1.5829
Os -5.1699 3.6557 6.3318
Os 9.0473 -0.9139 7.9147
Os 1.2925 4.5696 11.0806
Os 6.4623 3.6557 9.4977
Pm 10.2393 1.2680 0.1621
Pm 0.1004 4.4300 5.3147
Pm 11.6333 3.7234 3.8561
Pm 6.4612 2.1779 1.1792
Pm 2.2176 5.1786 8.6454
Pm 11.3664 7.1500 2.3136
Pm -1.2936 8.8568 5.0353
Pm -3.8763 12.4447 1.1792
Pm 0.3674 9.4440 8.6454
Pm 6.7281 7.4726 2.3136
Pm 7.8552 4.1493 5.1526
Pm 7.8552 13.3546 0.1621
Pm -4.8025 6.4207 6.4939
Pm 3.6116 5.3883 1.2965
Pm -5.2703 10.4733 5.1526
Pm 2.6854 -2.8813 7.3489
Pm -0.3673 1.2422 2.4757
Pm 3.6116 9.3956 1.0171
Pm 6.4612 10.8992 3.8561
Pm -1.0267 5.2270 1.0171
Pm -2.9523 8.5535 10.1879
Pm 3.8785 5.7658 5.0353
Pm 7.3875 8.2018 6.4939
Pm 6.1965 -1.9230 11.3671
Pm 1.2914 1.5455 7.6283
Pm -2.2176 -0.8905 6.1697
Pm -1.0267 9.2343 1.2965
Pm -1.2913 -3.5879 8.8075
Pm 8.1222 -1.2422 2.4757
Pm 6.1965 2.0843 11.6464
Pm 1.5583 -2.0843 11.6464
Pm 2.4845 10.1926 5.3147
Pm 5.5372 6.0691 10.1879
Pm 10.4402 -3.1620 7.5110
Pm 9.9724 0.8906 6.1697
Pm -2.6854 -6.0433 12.5015
Pm 1.5583 1.9230 11.3671
Pm 4.8025 -2.1327 4.0182
Pm -1.5583 -0.1613 10.3499
Pm -2.6854 3.1620 7.5110
Pm 9.0462 -5.1334 11.4843
Pm 6.4635 -1.5455 7.6283
Pm -1.2914 5.1334 11.4843
Pm -6.1965 0.1613 10.3499
Pm 2.9523 2.1327 4.0182
Pm -6.4634 3.5879 8.8075
Pm 5.0695 2.8813 7.3489
Pm -5.0694 6.0433 12.5015
```

Properties
Density ... 7.19 g/cm³
Formation enthalpy at 0 K ... 0.565 eV/atom
Space-group type ... No. 230
Crystal system ... cubic